Th5Bi2H2 (PBE-GGA, relaxed); Fermi-level density of states = 7.96 states/eV per cell; symmetry = C2/m; raw total energy = -54.42 eV per cell
1.0
-2.590 -2.276 -2.008
2.919 -3.747 4.446
-6.454 1.338 6.809
Th Bi H
5 2 2
Cartesian
-0.167 -2.447 2.990
-5.958 -2.237 6.257
-3.049 -0.549 4.555
-3.076 -4.136 4.692
0.000 0.000 0.000
-3.253 -3.396 8.045
-2.872 -1.288 1.202
-4.683 -0.265 6.341
-1.441 -4.420 2.905

***

Th4Bi5H2 (PBE-GGA, relaxed); Fermi-level density of states = 7.84 states/eV per cell; symmetry = C2/m; raw total energy = -58.82 eV per cell
1.0
4.463 0.000 0.000
0.000 8.418 1.980
-2.231 -0.465 8.597
Th Bi H
4 5 2
Cartesian
2.231 4.533 3.178
2.231 5.867 9.397
0.000 3.419 7.398
0.000 2.085 1.179
0.000 7.031 4.127
2.231 0.921 6.450
0.000 2.329 4.313
2.231 0.000 0.000
2.231 5.624 6.263
0.000 4.886 9.431
2.231 3.067 1.145

***

Th3BiH3 (PBE-GGA, relaxed); Fermi-level density of states = 15.15 states/eV per cell; polymorph energy (0 for the lowest one) = 0 meV/atom; symmetry = Pm-3n; raw total energy = -77.77 eV per cell
1.0
-3.728 -4.957 2.005
4.336 -4.233 -2.403
3.129 -0.040 5.718
H Bi Th
6 2 6
Cartesian
0.632 -1.259 3.360
2.950 -2.126 0.228
1.388 -5.653 -0.799
-1.232 -3.738 4.363
4.515 -2.147 3.088
-0.780 -3.537 0.402
1.869 -4.615 2.660
0.000 0.000 0.000
2.649 -1.078 2.259
4.817 -3.195 1.057
0.483 -2.509 5.291
-0.628 -5.834 0.302
-1.082 -2.489 2.432
1.236 -3.356 -0.700

***

Look up the raw total energy of the first one. -54.42 eV per cell

***

Which of these has the lowest Fermi-level density of states? Th4Bi5H2

***

Which value of Fermi-level density of states does entry 1 give? 7.96 states/eV per cell

***

Look up the raw total energy of the first one. -54.42 eV per cell